Record 1
First-principles (PBE) data for a geometry-optimized ZnGaCuRe structure, as listed in the Open Quantum Materials Database.

Cell and atoms, written as CIF:
```
data_ZnGaCuRe
_chemical_formula_sum 'Zn4 Ga4 Cu4 Re4'
_space_group_name_H-M_alt 'P 1'
_space_group_IT_number 1
_space_group_name_Hall 'P 1'
_cell_length_a 6.072
_cell_length_b 6.072
_cell_length_c 6.072
_cell_angle_alpha 90.00
_cell_angle_beta 90.00
_cell_angle_gamma 90.00
loop_
_atom_site_label
_atom_site_fract_x
_atom_site_fract_y
_atom_site_fract_z
Zn1 0.000 0.000 0.000
Zn2 0.000 0.500 0.500
Zn3 0.500 0.000 0.500
Zn4 0.500 0.500 0.000
Ga1 0.250 0.250 0.250
Ga2 0.250 0.750 0.750
Ga3 0.750 0.250 0.750
Ga4 0.750 0.750 0.250
Cu1 0.000 0.000 0.500
Cu2 0.000 0.500 0.000
Cu3 0.500 0.000 0.000
Cu4 0.500 0.500 0.500
Re1 0.250 0.250 0.750
Re2 0.250 0.750 0.250
Re3 0.750 0.250 0.250
Re4 0.750 0.750 0.750
```

Summary:
- space-group type = F-43m
- uncorrected energy (eV per atom) = -4.6020

Record 2
First-principles (PBE) data for a geometry-optimized Ga2CuS4 structure, as listed in the Open Quantum Materials Database.

Cell and atoms, written as CIF:
```
data_Ga2CuS4
_chemical_formula_sum 'Ga8 Cu4 S16'
_space_group_name_H-M_alt 'P 1'
_space_group_IT_number 1
_space_group_name_Hall 'P 1'
_cell_length_a 7.101
_cell_length_b 7.101
_cell_length_c 10.227
_cell_angle_alpha 90.00
_cell_angle_beta 90.00
_cell_angle_gamma 90.00
loop_
_atom_site_label
_atom_site_fract_x
_atom_site_fract_y
_atom_site_fract_z
Ga1 0.000 0.265 0.000
Ga2 0.000 0.735 0.500
Ga3 0.247 0.247 0.375
Ga4 0.247 0.753 0.125
Ga5 0.265 0.000 0.750
Ga6 0.735 0.000 0.250
Ga7 0.753 0.247 0.625
Ga8 0.753 0.753 0.875
Cu1 0.247 0.500 0.750
Cu2 0.500 0.247 0.000
Cu3 0.500 0.753 0.500
Cu4 0.753 0.500 0.250
S1 0.021 0.251 0.758
S2 0.021 0.749 0.742
S3 0.251 0.021 0.992
S4 0.251 0.979 0.508
S5 0.256 0.490 0.990
S6 0.256 0.510 0.510
S7 0.490 0.256 0.760
S8 0.490 0.744 0.740
S9 0.510 0.256 0.240
S10 0.510 0.744 0.260
S11 0.744 0.490 0.010
S12 0.744 0.510 0.490
S13 0.749 0.021 0.008
S14 0.749 0.979 0.492
S15 0.979 0.251 0.242
S16 0.979 0.749 0.258
```

Summary:
- space-group type = P4_122
- uncorrected energy (eV per atom) = -4.1536

| no. | mass density (g cm⁻³) |
| --- | --- |
| 1 | 11.42 |
| 2 | 4.27 |